Record 1
# PBE Pm2Th3ScS6, relaxed
# density: 7.550 g cm⁻³
# uncorrected formation energy: -1869 meV/atom
data_Pm2Th3ScS6
_chemical_formula_sum 'Pm2 Th3 Sc1 S6'
_cell_length_a 3.9682
_cell_length_b 8.0232
_cell_length_c 8.9746
_cell_angle_alpha 104.69
_cell_angle_beta 102.77
_cell_angle_gamma 90.00
_space_group_name_H-M_alt 'P 1'
_space_group_IT_number 1
loop_
_space_group_symop_operation_xyz
'x,y,z'
loop_
_atom_site_label
_atom_site_type_symbol
_atom_site_fract_x
_atom_site_fract_y
_atom_site_fract_z
Pm1 Pm 0.8349 0.6685 0.6698
Pm2 Pm 0.1651 0.3315 0.3302
Th1 Th 0.5000 0.5000 0.0000
Th2 Th 0.8309 0.1658 0.6617
Th3 Th 0.1691 0.8342 0.3383
Sc1 Sc 0.5000 0.0000 0.0000
S1 S 0.3424 0.9200 0.6847
S2 S 0.6684 0.5806 0.3368
S3 S 0.6576 0.0799 0.3153
S4 S 0.9985 0.2295 0.9969
S5 S 0.0015 0.7705 0.0031
S6 S 0.3316 0.4194 0.6632


Record 2
# PBE PmSc2Tl3S6, relaxed
# density: 5.765 g cm⁻³
# uncorrected formation energy: -1389 meV/atom
data_PmSc2Tl3S6
_chemical_formula_sum 'Pm1 Sc2 Tl3 S6'
_cell_length_a 6.7958
_cell_length_b 6.7958
_cell_length_c 7.8203
_cell_angle_alpha 98.34
_cell_angle_beta 98.34
_cell_angle_gamma 119.90
_space_group_name_H-M_alt 'P 1'
_space_group_IT_number 1
loop_
_space_group_symop_operation_xyz
'x,y,z'
loop_
_atom_site_label
_atom_site_type_symbol
_atom_site_fract_x
_atom_site_fract_y
_atom_site_fract_z
Pm1 Pm 0.0000 0.0000 0.0000
Sc1 Sc 0.3334 0.6666 0.0000
Sc2 Sc 0.6666 0.3334 0.0000
Tl1 Tl 0.1628 0.8372 0.5000
Tl2 Tl 0.8372 0.1628 0.5000
Tl3 Tl 0.5000 0.5000 0.5000
S1 S 0.9353 0.5814 0.8054
S2 S 0.7097 0.7097 0.1902
S3 S 0.0647 0.4186 0.1946
S4 S 0.5814 0.9353 0.8054
S5 S 0.2903 0.2903 0.8098
S6 S 0.4186 0.0647 0.1946


Record 3
# PBE Pm2Tm3ScS6, relaxed
# density: 6.884 g cm⁻³
# uncorrected formation energy: -1941 meV/atom
data_Pm2Tm3ScS6
_chemical_formula_sum 'Pm2 Tm3 Sc1 S6'
_cell_length_a 3.8696
_cell_length_b 7.8329
_cell_length_c 8.6899
_cell_angle_alpha 103.36
_cell_angle_beta 102.86
_cell_angle_gamma 90.00
_space_group_name_H-M_alt 'P 1'
_space_group_IT_number 1
loop_
_space_group_symop_operation_xyz
'x,y,z'
loop_
_atom_site_label
_atom_site_type_symbol
_atom_site_fract_x
_atom_site_fract_y
_atom_site_fract_z
Pm1 Pm 0.8332 0.6659 0.6664
Pm2 Pm 0.1668 0.3341 0.3336
Tm1 Tm 0.5000 0.5000 0.0000
Tm2 Tm 0.8305 0.1658 0.6610
Tm3 Tm 0.1695 0.8342 0.3390
Sc1 Sc 0.5000 0.0000 0.0000
S1 S 0.3371 0.9306 0.6742
S2 S 0.6622 0.5935 0.3244
S3 S 0.6629 0.0694 0.3258
S4 S 0.9950 0.2418 0.9901
S5 S 0.0050 0.7582 0.0099
S6 S 0.3378 0.4065 0.6756


Record 4
# PBE Pm4Tm3ScS8, relaxed
# density: 6.751 g cm⁻³
# uncorrected formation energy: -1973 meV/atom
data_Pm4Tm3ScS8
_chemical_formula_sum 'Pm4 Tm3 Sc1 S8'
_cell_length_a 7.7559
_cell_length_b 7.9384
_cell_length_c 7.7561
_cell_angle_alpha 119.24
_cell_angle_beta 120.00
_cell_angle_gamma 90.00
_space_group_name_H-M_alt 'P 1'
_space_group_IT_number 1
loop_
_space_group_symop_operation_xyz
'x,y,z'
loop_
_atom_site_label
_atom_site_type_symbol
_atom_site_fract_x
_atom_site_fract_y
_atom_site_fract_z
Pm1 Pm 0.5000 0.0000 0.0000
Pm2 Pm 0.5000 0.0000 0.5000
Pm3 Pm 0.0000 0.0000 0.0000
Pm4 Pm 0.0000 0.0000 0.5000
Tm1 Tm 0.5000 0.5000 0.0000
Tm2 Tm 0.5000 0.5000 0.5000
Tm3 Tm 0.0000 0.5000 0.5000
Sc1 Sc 0.0000 0.5000 0.0000
S1 S 0.2401 0.7274 0.9873
S2 S 0.2401 0.7274 0.4801
S3 S 0.2564 0.2693 0.5129
S4 S 0.7473 0.7274 0.9873
S5 S 0.2527 0.2726 0.0127
S6 S 0.7436 0.7307 0.4871
S7 S 0.7599 0.2726 0.5199
S8 S 0.7599 0.2726 0.0127


Record 5
# PBE PmTmSc2S4, relaxed
# density: 5.610 g cm⁻³
# uncorrected formation energy: -1906 meV/atom
data_PmTmSc2S4
_chemical_formula_sum 'Pm1 Tm1 Sc2 S4'
_cell_length_a 3.7809
_cell_length_b 6.6382
_cell_length_c 6.6377
_cell_angle_alpha 71.00
_cell_angle_beta 90.00
_cell_angle_gamma 90.00
_space_group_name_H-M_alt 'P 1'
_space_group_IT_number 1
loop_
_space_group_symop_operation_xyz
'x,y,z'
loop_
_atom_site_label
_atom_site_type_symbol
_atom_site_fract_x
_atom_site_fract_y
_atom_site_fract_z
Pm1 Pm 0.5000 0.5000 0.0000
Tm1 Tm 0.0000 0.5000 0.5000
Sc1 Sc 0.0000 0.0000 0.0000
Sc2 Sc 0.5000 0.0000 0.5000
S1 S 0.0000 0.7718 0.7344
S2 S 0.0000 0.2282 0.2656
S3 S 0.5000 0.7655 0.2530
S4 S 0.5000 0.2345 0.7470


Record 6
# PBE Pm3Tm2ScS6, relaxed
# density: 6.588 g cm⁻³
# uncorrected formation energy: -1973 meV/atom
data_Pm3Tm2ScS6
_chemical_formula_sum 'Pm3 Tm2 Sc1 S6'
_cell_length_a 6.7226
_cell_length_b 6.7226
_cell_length_c 6.8944
_cell_angle_alpha 99.35
_cell_angle_beta 99.35
_cell_angle_gamma 120.18
_space_group_name_H-M_alt 'P 1'
_space_group_IT_number 1
loop_
_space_group_symop_operation_xyz
'x,y,z'
loop_
_atom_site_label
_atom_site_type_symbol
_atom_site_fract_x
_atom_site_fract_y
_atom_site_fract_z
Pm1 Pm 0.1685 0.8315 0.5000
Pm2 Pm 0.8315 0.1685 0.5000
Pm3 Pm 0.5000 0.5000 0.5000
Tm1 Tm 0.3337 0.6663 0.0000
Tm2 Tm 0.6663 0.3337 0.0000
Sc1 Sc 0.0000 0.0000 0.0000
S1 S 0.9246 0.5967 0.7724
S2 S 0.7490 0.7490 0.2298
S3 S 0.0754 0.4033 0.2276
S4 S 0.5967 0.9246 0.7724
S5 S 0.2510 0.2510 0.7702
S6 S 0.4033 0.0754 0.2276


Record 7
# PBE PmTm2Sc3S6, relaxed
# density: 5.766 g cm⁻³
# uncorrected formation energy: -1905 meV/atom
data_PmTm2Sc3S6
_chemical_formula_sum 'Pm1 Tm2 Sc3 S6'
_cell_length_a 3.7906
_cell_length_b 7.6417
_cell_length_c 8.4876
_cell_angle_alpha 102.89
_cell_angle_beta 102.90
_cell_angle_gamma 90.00
_space_group_name_H-M_alt 'P 1'
_space_group_IT_number 1
loop_
_space_group_symop_operation_xyz
'x,y,z'
loop_
_atom_site_label
_atom_site_type_symbol
_atom_site_fract_x
_atom_site_fract_y
_atom_site_fract_z
Pm1 Pm 0.5000 0.0000 0.0000
Tm1 Tm 0.8348 0.6696 0.6695
Tm2 Tm 0.1652 0.3304 0.3305
Sc1 Sc 0.5000 0.5000 0.0000
Sc2 Sc 0.8364 0.1649 0.6728
Sc3 Sc 0.1636 0.8351 0.3272
S1 S 0.3257 0.9186 0.6514
S2 S 0.6653 0.5885 0.3307
S3 S 0.6743 0.0814 0.3486
S4 S 0.9983 0.2685 0.9967
S5 S 0.0017 0.7315 0.0033
S6 S 0.3347 0.4115 0.6693


Record 8
# PBE Pm4Y3ScS8, relaxed
# density: 5.463 g cm⁻³
# uncorrected formation energy: -1988 meV/atom
data_Pm4Y3ScS8
_chemical_formula_sum 'Pm4 Y3 Sc1 S8'
_cell_length_a 7.8524
_cell_length_b 7.9541
_cell_length_c 7.8523
_cell_angle_alpha 119.58
_cell_angle_beta 120.00
_cell_angle_gamma 90.00
_space_group_name_H-M_alt 'P 1'
_space_group_IT_number 1
loop_
_space_group_symop_operation_xyz
'x,y,z'
loop_
_atom_site_label
_atom_site_type_symbol
_atom_site_fract_x
_atom_site_fract_y
_atom_site_fract_z
Pm1 Pm 0.5000 0.0000 0.0000
Pm2 Pm 0.5000 0.0000 0.5000
Pm3 Pm 0.0000 0.0000 0.0000
Pm4 Pm 0.0000 0.0000 0.5000
Y1 Y 0.5000 0.5000 0.0000
Y2 Y 0.5000 0.5000 0.5000
Y3 Y 0.0000 0.5000 0.5000
Sc1 Sc 0.0000 0.5000 0.0000
S1 S 0.2401 0.7325 0.9924
S2 S 0.2401 0.7325 0.4802
S3 S 0.2539 0.2618 0.5079
S4 S 0.7523 0.7325 0.9924
S5 S 0.2477 0.2675 0.0076
S6 S 0.7461 0.7382 0.4921
S7 S 0.7599 0.2675 0.5198
S8 S 0.7599 0.2675 0.0076


Record 9
# PBE Pm2YScS4, relaxed
# density: 5.365 g cm⁻³
# uncorrected formation energy: -1966 meV/atom
data_Pm2YScS4
_chemical_formula_sum 'Pm2 Y1 Sc1 S4'
_cell_length_a 3.8744
_cell_length_b 6.7517
_cell_length_c 6.9032
_cell_angle_alpha 108.85
_cell_angle_beta 90.00
_cell_angle_gamma 90.00
_space_group_name_H-M_alt 'P 1'
_space_group_IT_number 1
loop_
_space_group_symop_operation_xyz
'x,y,z'
loop_
_atom_site_label
_atom_site_type_symbol
_atom_site_fract_x
_atom_site_fract_y
_atom_site_fract_z
Pm1 Pm 0.5000 0.0000 0.5000
Pm2 Pm 0.0000 0.5000 0.5000
Y1 Y 0.5000 0.5000 0.0000
Sc1 Sc 0.0000 0.0000 0.0000
S1 S 0.5000 0.2344 0.2274
S2 S 0.5000 0.7656 0.7726
S3 S 0.0000 0.2480 0.7671
S4 S 0.0000 0.7520 0.2329


Record 10
# PBE Pm3Y2ScS6, relaxed
# density: 5.435 g cm⁻³
# uncorrected formation energy: -1984 meV/atom
data_Pm3Y2ScS6
_chemical_formula_sum 'Pm3 Y2 Sc1 S6'
_cell_length_a 3.9147
_cell_length_b 7.9513
_cell_length_c 8.8293
_cell_angle_alpha 103.88
_cell_angle_beta 102.81
_cell_angle_gamma 90.00
_space_group_name_H-M_alt 'P 1'
_space_group_IT_number 1
loop_
_space_group_symop_operation_xyz
'x,y,z'
loop_
_atom_site_label
_atom_site_type_symbol
_atom_site_fract_x
_atom_site_fract_y
_atom_site_fract_z
Pm1 Pm 0.5000 0.5000 0.0000
Pm2 Pm 0.8317 0.1651 0.6634
Pm3 Pm 0.1683 0.8349 0.3366
Y1 Y 0.8344 0.6682 0.6687
Y2 Y 0.1656 0.3318 0.3313
Sc1 Sc 0.5000 0.0000 0.0000
S1 S 0.3409 0.9132 0.6818
S2 S 0.6693 0.5770 0.3386
S3 S 0.6591 0.0868 0.3182
S4 S 0.0010 0.2319 0.0020
S5 S 0.9990 0.7681 0.9980
S6 S 0.3307 0.4230 0.6614


Record 11
# PBE Pm4YSc3S8, relaxed
# density: 5.266 g cm⁻³
# uncorrected formation energy: -1945 meV/atom
data_Pm4YSc3S8
_chemical_formula_sum 'Pm4 Y1 Sc3 S8'
_cell_length_a 7.7169
_cell_length_b 7.8665
_cell_length_c 7.7170
_cell_angle_alpha 119.37
_cell_angle_beta 120.00
_cell_angle_gamma 90.00
_space_group_name_H-M_alt 'P 1'
_space_group_IT_number 1
loop_
_space_group_symop_operation_xyz
'x,y,z'
loop_
_atom_site_label
_atom_site_type_symbol
_atom_site_fract_x
_atom_site_fract_y
_atom_site_fract_z
Pm1 Pm 0.5000 0.0000 0.0000
Pm2 Pm 0.5000 0.0000 0.5000
Pm3 Pm 0.0000 0.0000 0.0000
Pm4 Pm 0.0000 0.0000 0.5000
Y1 Y 0.0000 0.5000 0.0000
Sc1 Sc 0.5000 0.5000 0.0000
Sc2 Sc 0.5000 0.5000 0.5000
Sc3 Sc 0.0000 0.5000 0.5000
S1 S 0.2464 0.7267 0.9804
S2 S 0.2464 0.7267 0.4927
S3 S 0.2595 0.2786 0.5191
S4 S 0.7340 0.7267 0.9804
S5 S 0.2660 0.2733 0.0196
S6 S 0.7405 0.7214 0.4809
S7 S 0.7536 0.2733 0.5073
S8 S 0.7536 0.2733 0.0196